Density functional theory data (PBE) for an optimized crystal structure of La3Zn2Si2.

abc: 4.5721 5.9816 7.0310
angles: 106.06 90.00 112.47
With the nearest neighbours (Å) after each atom.
Fractional positions:
La1 0.3259 0.6518 0.3995  5 Si 3.15-3.33, 3 Zn 3.17-3.22, 2 La 3.38
La2 0.6741 0.3482 0.6005  5 Si 3.15-3.33, 3 Zn 3.17-3.22, 2 La 3.38
La3 0.5000 0.0000 0.0000  6 Zn 3.17-3.36, 4 Si 3.24
Zn1 0.7972 0.5943 0.0774  1 Si 2.53, 2 Zn 2.61
Zn2 0.2028 0.4057 0.9226  1 Si 2.53, 2 Zn 2.61
Si1 0.9854 0.9708 0.6681  1 Si 2.48, 1 Zn 2.53
Si2 0.0146 0.0292 0.3319  1 Si 2.48, 1 Zn 2.53

Calculated values
Volume ... 170 Å³/f.u.
E_form (uncorrected) ... -0.562 eV per atom
Space group ... C2/m

=====

Density functional theory data (PBE) for an optimized crystal structure of ZnNiSbPt2.

abc: 4.9753 4.8662 4.9753
angles: 90.00 90.00 90.00
With the nearest neighbours (Å) after each atom.
Fractional positions:
Sb1 0.0000 0.0000 0.0000  2 Zn 2.43, 4 Pt 2.49
Zn1 0.0000 0.5000 0.0000  2 Sb 2.43
Pt1 0.0000 0.0000 0.5000  2 Sb 2.49
Pt2 0.5000 0.0000 0.0000  2 Sb 2.49
Ni1 0.5000 0.5000 0.5000  8 Pt 3.48, 4 Zn 3.52

Calculated values
Volume ... 120 Å³/f.u.
E_form (uncorrected) ... 1.071 eV per atom
Space group ... P4/mmm

=====

Density functional theory data (PBE) for an optimized crystal structure of LiIn2Re.

abc: 4.6641 4.6641 4.6641
angles: 60.00 60.00 60.00
With the nearest neighbours (Å) after each atom.
Fractional positions:
Re1 0.5000 0.5000 0.5000  8 In 2.86
Li1 0.0000 0.0000 0.0000  8 In 2.86
In1 0.2500 0.2500 0.2500  4 Li 2.86, 4 Re 2.86
In2 0.7500 0.7500 0.7500  4 Re 2.86, 4 Li 2.86

Calculated values
Offset from the most stable computed form ... 57.7 meV/atom
Volume ... 72 Å³/f.u.
Energy of formation ... 1.2 eV/f.u.
Space group ... Fm-3m

=====

Density functional theory data (PBE) for an optimized crystal structure of Sn2RuS2.

abc: 3.3967 3.3967 8.9944
angles: 79.12 79.12 90.00
With the nearest neighbours (Å) after each atom.
Fractional positions:
Ru1 0.0000 0.0000 0.0000  8 Sn 2.87
S1 0.7500 0.2500 0.5000  4 S 2.40
S2 0.2500 0.7500 0.5000  4 S 2.40
Sn1 0.4097 0.4097 0.1806  4 Ru 2.87, 1 Sn 3.13
Sn2 0.5903 0.5903 0.8194  4 Ru 2.87, 1 Sn 3.13

Calculated values
Offset from the most stable computed form ... 354.1 meV/atom
Volume ... 100 Å³/f.u.
E_form (uncorrected) ... 0.264 eV per atom
Space group ... I4/mmm

=====

Density functional theory data (PBE) for an optimized crystal structure of Na8SnO6.

abc: 6.4966 6.4966 12.9036
angles: 90.00 90.00 120.00
With the nearest neighbours (Å) after each atom.
Fractional positions:
Na1 0.0000 0.6989 0.7691  4 O 2.35-2.46
Na2 0.0000 0.6007 0.1251  3 O 2.33-2.35
Na3 0.0000 0.3993 0.6251  3 O 2.33-2.35
Na4 0.0000 0.3011 0.2691  4 O 2.35-2.46
Na5 0.3333 0.6667 0.4100  4 O 2.37-2.45
Na6 0.3333 0.6667 0.9100  4 O 2.37-2.45
Na7 0.3011 0.3011 0.7691  4 O 2.35-2.46
Na8 0.3993 0.3993 0.1251  3 O 2.33-2.35
Na9 0.6007 0.6007 0.6251  3 O 2.33-2.35
Na10 0.3011 0.0000 0.2691  4 O 2.35-2.46
Na11 0.6989 0.6989 0.2691  4 O 2.35-2.46
Na12 0.3993 0.0000 0.6251  3 O 2.33-2.35
Na13 0.6667 0.3333 0.9100  4 O 2.37-2.45
Na14 0.6667 0.3333 0.4100  4 O 2.37-2.45
Na15 0.6007 0.0000 0.1251  3 O 2.33-2.35
Na16 0.6989 0.0000 0.7691  4 O 2.35-2.46
Sn1 0.0000 0.0000 0.9966  4 O 1.99-2.03
Sn2 0.0000 0.0000 0.4966  4 O 1.99-2.03
O1 0.0000 0.7074 0.9509  1 Sn 1.99
O2 0.0000 0.2926 0.4509  1 Sn 1.99
O3 0.3333 0.6667 0.2201  7 Na 2.33-2.45
O4 0.0000 0.0000 0.1537  1 Sn 2.03
O5 0.0000 0.0000 0.6537  1 Sn 2.03
O6 0.3333 0.6667 0.7201  7 Na 2.33-2.45
O7 0.2926 0.2926 0.9509  1 Sn 1.99
O8 0.2926 0.0000 0.4509  1 Sn 1.99
O9 0.7074 0.7074 0.4509  1 Sn 1.99
O10 0.6667 0.3333 0.7201  7 Na 2.33-2.45
O11 0.6667 0.3333 0.2201  7 Na 2.33-2.45
O12 0.7074 0.0000 0.9509  1 Sn 1.99

Calculated values
Offset from the most stable computed form ... 0.0 meV/atom
Volume ... 236 Å³/f.u.
E_form (uncorrected) ... -1.414 eV per atom
Space group ... P6_3cm

=====

Density functional theory data (PBE) for an optimized crystal structure of MgP2Pb.

abc: 3.3752 3.3752 7.5217
angles: 90.00 90.00 90.00
With the nearest neighbours (Å) after each atom.
Fractional positions:
Mg1 0.5000 0.5000 0.7944  1 P 2.54
P1 0.0000 0.0000 0.0763  4 P 2.42
P2 0.5000 0.5000 0.1327  4 P 2.42, 1 Mg 2.54
Pb1 0.0000 0.0000 0.4966  1 P 3.16, 4 Mg 3.27, 4 Pb 3.38

Calculated values
Volume ... 86 Å³/f.u.
Energy of formation ... 0.4 eV/f.u.
Space group ... P4mm

=====

Density functional theory data (PBE) for an optimized crystal structure of Tb2NpCuS5.

abc: 3.8261 8.7670 11.3096
angles: 90.00 90.00 102.60
With the nearest neighbours (Å) after each atom.
Fractional positions:
Tb1 0.8821 0.7642 0.8088  7 S 2.76-3.05
Tb2 0.1027 0.2053 0.6858  7 S 2.83-2.92
Tb3 0.1179 0.2358 0.3088  7 S 2.76-3.05
Tb4 0.8973 0.7947 0.1858  7 S 2.83-2.92
Np1 0.8005 0.6010 0.5099  6 S 2.68-2.77
Np2 0.1995 0.3990 0.0099  6 S 2.68-2.77
Cu1 0.5599 0.1199 0.9529  4 S 2.26-2.37
Cu2 0.4401 0.8801 0.4529  4 S 2.26-2.37
S1 0.3615 0.7230 0.0036  1 Np 2.77, 4 Tb 2.88-2.94
S2 0.6777 0.3555 0.8425  1 Cu 2.37
S3 0.4964 0.9928 0.7772  1 Cu 2.26
S4 0.2927 0.5854 0.6817  2 Np 2.73, 2 Tb 2.84
S5 0.9532 0.9063 0.5616  2 Cu 2.29
S6 0.6385 0.2770 0.5036  1 Np 2.77, 4 Tb 2.88-2.94
S7 0.3223 0.6445 0.3425  1 Cu 2.37
S8 0.5036 0.0072 0.2772  1 Cu 2.26
S9 0.7073 0.4146 0.1817  2 Np 2.73, 2 Tb 2.84
S10 0.0468 0.0937 0.0616  2 Cu 2.29

Calculated values
Volume ... 185 Å³/f.u.
E_form (uncorrected) ... -1.506 eV per atom
Space group ... Cmc2_1

=====

Density functional theory data (PBE) for an optimized crystal structure of K2BiPd4Pb3.

abc: 4.9497 4.9497 10.8636
angles: 90.00 90.00 90.00
With the nearest neighbours (Å) after each atom.
Fractional positions:
K1 0.5000 0.0000 0.2404  8 Pd 3.60-3.78, 7 Pb 3.75-3.88, 2 Bi 3.75
K2 0.0000 0.5000 0.7596  8 Pd 3.60-3.78, 7 Pb 3.75-3.88, 2 Bi 3.75
Bi1 0.5000 0.5000 0.5000  4 Pd 2.84
Pd1 0.5000 0.5000 0.0000  4 Pb 2.78
Pd2 0.0000 0.0000 0.0000  4 Pb 2.78
Pd3 0.5000 0.0000 0.6275  3 Pb 2.78-2.84, 2 Bi 2.84
Pd4 0.0000 0.5000 0.3725  3 Pb 2.78-2.84, 2 Bi 2.84
Pb1 0.0000 0.0000 0.5000  4 Pd 2.84
Pb2 0.5000 0.0000 0.8833  5 Pd 2.78
Pb3 0.0000 0.5000 0.1167  5 Pd 2.78

Calculated values
Volume ... 266 Å³/f.u.
Energy of formation ... -2.6 eV/f.u.
Space group ... P-4m2

=====

Density functional theory data (PBE) for an optimized crystal structure of YAl5.

abc: 4.3764 5.7097 5.7097
angles: 64.32 67.47 67.47
With the nearest neighbours (Å) after each atom.
Fractional positions:
Y1 0.5000 0.0000 0.0000  14 Al 3.04-3.23
Al1 0.8368 0.8942 0.4321  6 Al 2.66-2.96
Al2 0.5000 0.5000 0.5000  8 Al 2.96, 2 Y 3.04
Al3 0.1632 0.1058 0.5679  6 Al 2.66-2.96
Al4 0.1632 0.5679 0.1058  6 Al 2.66-2.96
Al5 0.8368 0.4321 0.8942  6 Al 2.66-2.96

Calculated values
Volume ... 115 Å³/f.u.
Energy of formation ... -1.4 eV/f.u.
Space group ... Immm

=====

Density functional theory data (PBE) for an optimized crystal structure of GdHfCoNi.

abc: 4.6302 4.6302 4.6302
angles: 60.00 60.00 60.00
With the nearest neighbours (Å) after each atom.
Fractional positions:
Ni1 0.2500 0.2500 0.2500  4 Hf 2.84, 4 Gd 2.84
Gd1 0.0000 0.0000 0.0000  4 Co 2.84, 4 Ni 2.84
Hf1 0.5000 0.5000 0.5000  4 Co 2.84, 4 Ni 2.84
Co1 0.7500 0.7500 0.7500  4 Gd 2.84, 4 Hf 2.84

Calculated values
Volume ... 70 Å³/f.u.
Energy of formation ... -0.9 eV/f.u.
Space group ... F-43m

=====

Density functional theory data (PBE) for an optimized crystal structure of Ca8Mg2Cd.

abc: 5.4812 9.3704 9.3757
angles: 119.98 107.00 90.00
With the nearest neighbours (Å) after each atom.
Fractional positions:
Ca1 0.6565 0.8745 0.3129  3 Mg 3.45-3.48, 1 Cd 3.56, 5 Ca 3.65-3.82
Ca2 0.3435 0.5616 0.6871  3 Mg 3.45-3.48, 1 Cd 3.56, 5 Ca 3.65-3.82
Ca3 0.1354 0.1354 0.2709  2 Cd 3.43, 8 Ca 3.60-3.82, 2 Mg 3.73
Ca4 0.0000 0.3146 0.0000  7 Ca 3.48-3.65, 2 Mg 3.50
Ca5 0.8646 0.8646 0.7291  2 Cd 3.43, 8 Ca 3.60-3.82, 2 Mg 3.73
Ca6 0.6565 0.4384 0.3129  3 Mg 3.45-3.48, 1 Cd 3.56, 5 Ca 3.65-3.82
Ca7 0.3435 0.1255 0.6871  3 Mg 3.45-3.48, 1 Cd 3.56, 5 Ca 3.65-3.82
Ca8 0.0000 0.6854 0.0000  7 Ca 3.48-3.65, 2 Mg 3.50
Mg1 0.1986 0.6986 0.3973  10 Ca 3.45-3.73
Mg2 0.8014 0.3014 0.6027  10 Ca 3.45-3.73
Cd1 0.5000 0.0000 0.0000  8 Ca 3.43-3.56

Calculated values
Offset from the most stable computed form ... 25.6 meV/atom
Volume ... 393 Å³/f.u.
Energy of formation ... -0.4 eV/f.u.
Space group ... Immm